# 1
Here is a relaxed K2YSe crystal from the Alexandria database. Energies are from PBE.

Cell lengths 4.534, 4.534, 6.465 Å; angles 90.00, 90.00, 90.00 degrees
Fractional coordinates of all 4 atoms:
1 K 0.000 0.500 0.000
2 K 0.500 0.000 0.000
3 Y 0.000 0.000 0.500
4 Se 0.500 0.500 0.500

Summary:
E_form (uncorrected) (eV/atom): -0.219
Raw total energy (eV per cell): -13.0
Space-group type: P4/mmm, No. 123


# 2
Here is a relaxed CaLa6Ho3 crystal from the Alexandria database. Energies are from PBE.

Cell lengths 5.931, 9.750, 13.952 Å; angles 90.00, 115.13, 90.00 degrees
Fractional coordinates of all 20 atoms:
1 Ca 0.000 0.000 0.000
2 Ca 0.000 0.500 0.500
3 La 0.102 0.147 0.602
4 La 0.102 0.353 0.102
5 La 0.255 0.033 0.254
6 La 0.255 0.467 0.754
7 La 0.391 0.156 0.891
8 La 0.391 0.344 0.391
9 La 0.609 0.656 0.609
10 La 0.609 0.844 0.109
11 La 0.745 0.533 0.246
12 La 0.745 0.967 0.746
13 La 0.898 0.647 0.898
14 La 0.898 0.853 0.398
15 Ho 0.262 0.693 0.262
16 Ho 0.262 0.807 0.762
17 Ho 0.500 0.000 0.500
18 Ho 0.500 0.500 0.000
19 Ho 0.738 0.193 0.238
20 Ho 0.738 0.307 0.738

Summary:
Raw total energy (eV per cell): -86.7
Space-group type: P2_1/c, No. 14
DFT formation energy (eV/f.u.): 1.96


# 3
Here is a relaxed PrErSnPb crystal from the Alexandria database. Energies are from PBE.

Cell lengths 7.748, 7.748, 7.748 Å; angles 90.00, 90.00, 90.00 degrees
Fractional coordinates of all 16 atoms:
1 Pr 0.000 0.000 0.000
2 Pr 0.000 0.500 0.500
3 Pr 0.500 0.000 0.500
4 Pr 0.500 0.500 0.000
5 Er 0.000 0.000 0.500
6 Er 0.000 0.500 0.000
7 Er 0.500 0.000 0.000
8 Er 0.500 0.500 0.500
9 Sn 0.250 0.250 0.750
10 Sn 0.250 0.750 0.250
11 Sn 0.750 0.250 0.250
12 Sn 0.750 0.750 0.750
13 Pb 0.250 0.250 0.250
14 Pb 0.250 0.750 0.750
15 Pb 0.750 0.250 0.750
16 Pb 0.750 0.750 0.250

Summary:
Raw total energy (eV per cell): -75.6
Space-group type: F-43m, No. 216
DFT formation energy (eV/f.u.): -1.86


# 4
Here is a relaxed Nd6GaNi2Cl3 crystal from the Alexandria database. Energies are from PBE.

Cell lengths 9.629, 9.629, 8.793 Å; angles 106.03, 106.03, 23.98 degrees
Fractional coordinates of all 12 atoms:
1 Nd 0.009 0.009 0.254
2 Nd 0.324 0.324 0.438
3 Nd 0.336 0.336 0.884
4 Nd 0.664 0.664 0.116
5 Nd 0.676 0.676 0.562
6 Nd 0.991 0.991 0.746
7 Ga 0.500 0.500 0.000
8 Ni 0.167 0.167 0.339
9 Ni 0.833 0.833 0.661
10 Cl 0.163 0.163 0.837
11 Cl 0.500 0.500 0.500
12 Cl 0.837 0.837 0.163

Summary:
E_form (uncorrected) (eV/atom): -0.921
Raw total energy (eV per cell): -59.8
Space-group type: C2/m, No. 12


# 5
Here is a relaxed Rb2Se5 crystal from the Alexandria database. Energies are from PBE.

Cell lengths 6.880, 7.180, 20.152 Å; angles 90.00, 90.00, 90.00 degrees
Fractional coordinates of all 28 atoms:
1 Rb 0.089 0.187 0.181
2 Rb 0.129 0.427 0.505
3 Rb 0.371 0.573 0.005
4 Rb 0.411 0.813 0.681
5 Rb 0.589 0.313 0.819
6 Rb 0.629 0.073 0.495
7 Rb 0.871 0.927 0.995
8 Rb 0.911 0.687 0.319
9 Se 0.040 0.723 0.811
10 Se 0.070 0.420 0.862
11 Se 0.088 0.678 0.153
12 Se 0.106 0.919 0.538
13 Se 0.237 0.079 0.370
14 Se 0.263 0.921 0.870
15 Se 0.394 0.081 0.038
16 Se 0.412 0.322 0.653
17 Se 0.430 0.580 0.362
18 Se 0.460 0.277 0.311
19 Se 0.540 0.777 0.189
20 Se 0.570 0.080 0.138
21 Se 0.588 0.822 0.847
22 Se 0.606 0.581 0.462
23 Se 0.737 0.421 0.630
24 Se 0.763 0.579 0.130
25 Se 0.894 0.419 0.962
26 Se 0.912 0.178 0.347
27 Se 0.930 0.920 0.638
28 Se 0.960 0.223 0.689

Summary:
E_form (uncorrected) (eV/atom): -0.593
Raw total energy (eV per cell): -94.0
Space-group type: P2_12_12_1, No. 19


# 6
Here is a relaxed USi2Ni10 crystal from the Alexandria database. Energies are from PBE.

Cell lengths 8.047, 6.259, 6.105 Å; angles 81.21, 50.23, 48.56 degrees
Fractional coordinates of all 13 atoms:
1 U 0.000 0.000 0.000
2 Si 0.000 0.500 0.000
3 Si 0.500 0.000 0.500
4 Ni 0.000 0.000 0.500
5 Ni 0.004 0.344 0.656
6 Ni 0.278 0.496 0.504
7 Ni 0.344 0.004 0.996
8 Ni 0.496 0.278 0.722
9 Ni 0.500 0.500 0.000
10 Ni 0.504 0.722 0.278
11 Ni 0.656 0.996 0.004
12 Ni 0.722 0.504 0.496
13 Ni 0.996 0.656 0.344

Summary:
E_form (uncorrected) (eV/atom): -0.301
Excess energy over the best structure of this formula in the dataset (meV/atom): 51
Raw total energy (eV per cell): -83.9
Space-group type: Fmmm, No. 69


# 7
Here is a relaxed ZrSbRu4 crystal from the Alexandria database. Energies are from PBE.

Cell lengths 5.219, 5.219, 5.219 Å; angles 60.00, 60.00, 60.00 degrees
Fractional coordinates of all 6 atoms:
1 Zr 0.000 0.000 0.000
2 Sb 0.250 0.250 0.250
3 Ru 0.127 0.624 0.624
4 Ru 0.624 0.127 0.624
5 Ru 0.624 0.624 0.127
6 Ru 0.624 0.624 0.624

Summary:
E_form (uncorrected) (eV/atom): 0.023
Raw total energy (eV per cell): -49.6
Space-group type: F-43m, No. 216


# 8
Here is a relaxed TlPd6Pt2 crystal from the Alexandria database. Energies are from PBE.

Cell lengths 7.022, 7.022, 7.282 Å; angles 114.38, 114.38, 86.80 degrees
Fractional coordinates of all 18 atoms:
1 Tl 0.108 0.892 0.750
2 Tl 0.892 0.108 0.250
3 Pd 0.026 0.743 0.303
4 Pd 0.107 0.339 0.140
5 Pd 0.257 0.974 0.197
6 Pd 0.319 0.562 0.026
7 Pd 0.339 0.107 0.640
8 Pd 0.438 0.681 0.474
9 Pd 0.562 0.319 0.526
10 Pd 0.661 0.893 0.360
11 Pd 0.681 0.438 0.974
12 Pd 0.743 0.026 0.803
13 Pd 0.893 0.661 0.860
14 Pd 0.974 0.257 0.697
15 Pt 0.209 0.467 0.584
16 Pt 0.467 0.209 0.084
17 Pt 0.533 0.791 0.916
18 Pt 0.791 0.533 0.416

Summary:
Excess energy over the best structure of this formula in the dataset (meV/atom): 17
Raw total energy (eV per cell): -91.2
Space-group type: C2/c, No. 15
DFT formation energy (eV/f.u.): -0.02


# 9
Here is a relaxed Ca3Ga2I8 crystal from the Alexandria database. Energies are from PBE.

Cell lengths 9.458, 9.458, 7.875 Å; angles 105.20, 105.20, 57.52 degrees
Fractional coordinates of all 13 atoms:
1 Ca 0.000 0.000 0.000
2 Ca 0.258 0.742 0.500
3 Ca 0.742 0.258 0.500
4 Ga 0.260 0.260 0.844
5 Ga 0.740 0.740 0.156
6 I 0.111 0.111 0.406
7 I 0.121 0.647 0.100
8 I 0.353 0.879 0.900
9 I 0.385 0.385 0.582
10 I 0.615 0.615 0.418
11 I 0.647 0.121 0.100
12 I 0.879 0.353 0.900
13 I 0.889 0.889 0.594

Summary:
E_form (uncorrected) (eV/atom): -1.201
Raw total energy (eV per cell): -40.1
Space-group type: C2/m, No. 12


# 10
Here is a relaxed NaTbNdTl crystal from the Alexandria database. Energies are from PBE.

Cell lengths 7.772, 7.772, 7.772 Å; angles 90.00, 90.00, 90.00 degrees
Fractional coordinates of all 16 atoms:
1 Na 0.000 0.000 0.000
2 Na 0.000 0.500 0.500
3 Na 0.500 0.000 0.500
4 Na 0.500 0.500 0.000
5 Tb 0.250 0.250 0.250
6 Tb 0.250 0.750 0.750
7 Tb 0.750 0.250 0.750
8 Tb 0.750 0.750 0.250
9 Nd 0.250 0.250 0.750
10 Nd 0.250 0.750 0.250
11 Nd 0.750 0.250 0.250
12 Nd 0.750 0.750 0.750
13 Tl 0.000 0.000 0.500
14 Tl 0.000 0.500 0.000
15 Tl 0.500 0.000 0.000
16 Tl 0.500 0.500 0.500

Summary:
Raw total energy (eV per cell): -53.6
Space-group type: F-43m, No. 216
DFT formation energy (eV/f.u.): -0.31


# 11
Here is a relaxed Y6P2HSe3 crystal from the Alexandria database. Energies are from PBE.

Cell lengths 8.956, 8.956, 8.047 Å; angles 104.51, 104.51, 25.83 degrees
Fractional coordinates of all 12 atoms:
1 Y 0.002 0.002 0.241
2 Y 0.328 0.328 0.429
3 Y 0.339 0.339 0.907
4 Y 0.661 0.661 0.093
5 Y 0.672 0.672 0.571
6 Y 0.998 0.998 0.759
7 P 0.164 0.164 0.330
8 P 0.836 0.836 0.670
9 H 0.500 0.500 0.000
10 Se 0.168 0.168 0.834
11 Se 0.500 0.500 0.500
12 Se 0.832 0.832 0.166

Summary:
Raw total energy (eV per cell): -81.4
Space-group type: C2/m, No. 12


# 12
Here is a relaxed VAgAs crystal from the Alexandria database. Energies are from PBE.

Cell lengths 9.399, 9.399, 9.399 Å; angles 23.35, 23.35, 23.35 degrees
Fractional coordinates of all 6 atoms:
1 V 0.194 0.194 0.194
2 V 0.806 0.806 0.806
3 Ag 0.299 0.299 0.299
4 Ag 0.701 0.701 0.701
5 As 0.100 0.100 0.100
6 As 0.900 0.900 0.900

Summary:
Raw total energy (eV per cell): -33.1
Space-group type: R-3m, No. 166
DFT formation energy (eV/f.u.): 0.07


# 13
Here is a relaxed CdReSe2N crystal from the Alexandria database. Energies are from PBE.

Cell lengths 5.127, 5.127, 3.750 Å; angles 90.00, 90.00, 90.00 degrees
Fractional coordinates of all 5 atoms:
1 Cd 0.000 0.000 0.000
2 Re 0.500 0.500 0.500
3 Se 0.000 0.500 0.500
4 Se 0.500 0.000 0.500
5 N 0.500 0.500 0.000

Summary:
E_form (uncorrected) (eV/atom): 0.193
Excess energy over the best structure of this formula in the dataset (meV/atom): 0
Raw total energy (eV per cell): -27.7
Space-group type: P4/mmm, No. 123


# 14
Here is a relaxed RbS crystal from the Alexandria database. Energies are from PBE.

Cell lengths 4.363, 4.363, 3.099 Å; angles 90.00, 90.00, 90.00 degrees
Fractional coordinates of all 2 atoms:
1 Rb 0.000 0.000 0.000
2 S 0.500 0.500 0.500

Summary:
E_form (uncorrected) (eV/atom): -0.483
Raw total energy (eV per cell): -6.1
Space-group type: P4/mmm, No. 123


# 15
Here is a relaxed Mg2AuCl crystal from the Alexandria database. Energies are from PBE.

Cell lengths 3.310, 3.465, 16.523 Å; angles 90.00, 90.00, 90.00 degrees
Fractional coordinates of all 8 atoms:
1 Mg 0.000 0.000 0.000
2 Mg 0.000 0.500 0.209
3 Mg 0.500 0.000 0.709
4 Mg 0.500 0.500 0.500
5 Au 0.000 0.500 0.632
6 Au 0.500 0.000 0.132
7 Cl 0.000 0.000 0.419
8 Cl 0.500 0.500 0.919

Summary:
E_form (uncorrected) (eV/atom): -0.710
Excess energy over the best structure of this formula in the dataset (meV/atom): 141
Raw total energy (eV per cell): -22.3
Space-group type: Imm2, No. 44


# 16
Here is a relaxed Mg12In5Bi2 crystal from the Alexandria database. Energies are from PBE.

Cell lengths 8.594, 8.594, 7.085 Å; angles 93.47, 93.47, 64.83 degrees
Fractional coordinates of all 19 atoms:
1 Mg 0.044 0.044 0.270
2 Mg 0.051 0.556 0.802
3 Mg 0.120 0.673 0.401
4 Mg 0.327 0.880 0.599
5 Mg 0.361 0.361 0.116
6 Mg 0.444 0.949 0.198
7 Mg 0.556 0.051 0.802
8 Mg 0.639 0.639 0.884
9 Mg 0.673 0.120 0.401
10 Mg 0.880 0.327 0.599
11 Mg 0.949 0.444 0.198
12 Mg 0.956 0.956 0.730
13 In 0.176 0.176 0.890
14 In 0.259 0.259 0.480
15 In 0.500 0.500 0.500
16 In 0.741 0.741 0.520
17 In 0.824 0.824 0.110
18 Bi 0.271 0.729 0.000
19 Bi 0.729 0.271 0.000

Summary:
Raw total energy (eV per cell): -41.5
Space-group type: C2/m, No. 12
DFT formation energy (eV/f.u.): -0.90


# 17
Here is a relaxed MnFeBRh2 crystal from the Alexandria database. Energies are from PBE.

Cell lengths 4.025, 4.025, 3.896 Å; angles 90.00, 90.00, 90.00 degrees
Fractional coordinates of all 5 atoms:
1 Mn 0.000 0.000 0.000
2 Fe 0.500 0.500 0.000
3 B 0.000 0.000 0.500
4 Rh 0.000 0.500 0.500
5 Rh 0.500 0.000 0.500

Summary:
Raw total energy (eV per cell): -38.4
Space-group type: P4/mmm, No. 123
DFT formation energy (eV/f.u.): 0.62


# 18
Here is a relaxed DySc3Zn2 crystal from the Alexandria database. Energies are from PBE.

Cell lengths 3.371, 3.371, 11.544 Å; angles 90.00, 90.00, 90.00 degrees
Fractional coordinates of all 6 atoms:
1 Dy 0.000 0.000 0.000
2 Sc 0.500 0.500 0.213
3 Sc 0.500 0.500 0.500
4 Sc 0.500 0.500 0.787
5 Zn 0.000 0.000 0.356
6 Zn 0.000 0.000 0.644

Summary:
Excess energy over the best structure of this formula in the dataset (meV/atom): 11
Raw total energy (eV per cell): -27.5
Space-group type: P4/mmm, No. 123
DFT formation energy (eV/f.u.): -1.35


# 19
Here is a relaxed La2Ho6Th crystal from the Alexandria database. Energies are from PBE.

Cell lengths 3.573, 3.573, 26.706 Å; angles 90.00, 90.00, 120.00 degrees
Fractional coordinates of all 9 atoms:
1 La 0.000 0.000 0.171
2 La 0.000 0.000 0.829
3 Ho 0.000 0.000 0.391
4 Ho 0.000 0.000 0.609
5 Ho 0.667 0.333 0.062
6 Ho 0.667 0.333 0.287
7 Ho 0.667 0.333 0.713
8 Ho 0.667 0.333 0.938
9 Th 0.667 0.333 0.500

Summary:
Excess energy over the best structure of this formula in the dataset (meV/atom): 18
Raw total energy (eV per cell): -44.0
Space-group type: P-6m2, No. 187
DFT formation energy (eV/f.u.): 0.72


# 20
Here is a relaxed CeZrCd2 crystal from the Alexandria database. Energies are from PBE.

Cell lengths 7.379, 7.379, 7.379 Å; angles 90.00, 90.00, 90.00 degrees
Fractional coordinates of all 16 atoms:
1 Ce 0.000 0.000 0.000
2 Ce 0.000 0.500 0.500
3 Ce 0.500 0.000 0.500
4 Ce 0.500 0.500 0.000
5 Zr 0.000 0.000 0.500
6 Zr 0.000 0.500 0.000
7 Zr 0.500 0.000 0.000
8 Zr 0.500 0.500 0.500
9 Cd 0.250 0.250 0.250
10 Cd 0.250 0.250 0.750
11 Cd 0.250 0.750 0.250
12 Cd 0.250 0.750 0.750
13 Cd 0.750 0.250 0.250
14 Cd 0.750 0.250 0.750
15 Cd 0.750 0.750 0.250
16 Cd 0.750 0.750 0.750

Summary:
Excess energy over the best structure of this formula in the dataset (meV/atom): 117
Raw total energy (eV per cell): -65.5
Space-group type: Fm-3m, No. 225
DFT formation energy (eV/f.u.): -0.07